A geometry-optimized As3RhO9 structure. Source: Alexandria, functional PBE.

Summary:
Formation energy without anion corrections   -12.435 eV/f.u.
Calculated volume   370.7 Å³/cell
DFT total energy   -6.028 eV per atom

Cell lengths 6.8127, 7.6818, 8.6537 Å; angles 74.39, 66.82, 63.68 degrees
With the nearest neighbours (Å) after each atom.
Element x y z (fractional)
O (0.7141, 0.7329, 0.0695)  1 As 1.69
O (0.6945, 0.4112, 0.6313)  2 As 1.78-1.79
O (0.4835, 0.2329, 0.5695)  1 As 1.69
O (0.4532, 0.5165, 0.2759)  2 As 1.77
As (0.7931, 0.5611, 0.6832)  4 O 1.69-1.78
As (0.9626, 0.0611, 0.1832)  4 O 1.69-1.78
Rh (0.0144, 0.4998, 0.0007)  6 O 2.02-2.07
As (0.4706, 0.7479, 0.2351)  4 O 1.69-1.79
O (0.3433, 0.2921, 0.9281)  1 As 1.70
O (0.8743, 0.4428, 0.8570)  1 As 1.69
Rh (0.4850, 0.9998, 0.5007)  6 O 2.02-2.07
As (0.5464, 0.2479, 0.7351)  4 O 1.69-1.79
O (0.7545, 0.0165, 0.7759)  2 As 1.77
O (0.3498, 0.1934, 0.3207)  1 As 1.70
O (0.9193, 0.2948, 0.1904)  1 As 1.70
O (0.1595, 0.0737, 0.6622)  1 As 1.69
O (0.2630, 0.9112, 0.1313)  2 As 1.78-1.79
O (0.1361, 0.6934, 0.8207)  1 As 1.70
O (0.8962, 0.0500, 0.0075)  2 As 1.78
As (0.0178, 0.9413, 0.8163)  4 O 1.69-1.78
O (0.1046, 0.5737, 0.1622)  1 As 1.69
O (0.8259, 0.9428, 0.3570)  1 As 1.69
O (0.5955, 0.7948, 0.6904)  1 As 1.70
As (0.2247, 0.4413, 0.3163)  4 O 1.69-1.78
O (0.4366, 0.7921, 0.4281)  1 As 1.70
O (0.0463, 0.5500, 0.5075)  2 As 1.78

---

A geometry-optimized CePr2Hg5 structure. Source: Alexandria, functional PBE.

Summary:
Calculated volume   217.1 Å³/cell
Formation energy from the elements   -37.9 kJ per mole of atoms
DFT total energy   -2.518 eV per atom

Cell lengths 5.3393, 5.3393, 8.5005 Å; angles 108.30, 108.30, 90.00 degrees
With the nearest neighbours (Å) after each atom.
Element x y z (fractional)
Hg (0.3800, 0.8800, 0.7600)  4 Pr 3.16-3.51, 2 Ce 3.24, 2 Hg 3.24
Pr (0.2692, 0.2692, 0.5383)  9 Hg 3.16-3.52
Hg (0.1200, 0.6200, 0.2400)  4 Pr 3.16-3.51, 2 Hg 3.24, 2 Ce 3.24
Hg (0.5000, 0.5000, 0.0000)  8 Hg 3.24, 2 Pr 3.52
Pr (0.7308, 0.7308, 0.4617)  9 Hg 3.16-3.52
Hg (0.8800, 0.3800, 0.7600)  4 Pr 3.16-3.51, 2 Ce 3.24, 2 Hg 3.24
Ce (0.0000, 0.0000, 0.0000)  8 Hg 3.24
Hg (0.6200, 0.1200, 0.2400)  4 Pr 3.16-3.51, 2 Ce 3.24, 2 Hg 3.24

---

What is the DFT total energy in the second record? -2.518 eV per atom